Entry 1:
! Tb12PmHo3, relaxed, DFT PBE; values from VASP
&SYSTEM
  ibrav = 0, nat = 16, ntyp = 3
/
ATOMIC_SPECIES
Ho 164.93 Ho.upf
Tb 158.93 Tb.upf
Pm 145.00 Pm.upf
ATOMIC_POSITIONS crystal
Ho 0.000 0.000 0.500
Tb 0.500 0.000 0.625
Tb 0.500 0.000 0.375
Ho 0.000 0.000 0.749
Tb 0.000 0.500 0.126
Tb 0.000 0.500 0.375
Tb 0.500 0.500 0.000
Tb 0.500 0.500 0.749
Tb 0.500 0.500 0.500
Ho 0.000 0.000 0.251
Tb 0.500 0.000 0.874
Pm 0.000 0.000 0.000
Tb 0.000 0.500 0.874
Tb 0.000 0.500 0.625
Tb 0.500 0.500 0.251
Tb 0.500 0.000 0.126
CELL_PARAMETERS angstrom
5.033 0.000 0.000
0.000 5.033 0.000
0.000 0.000 20.121
! E_form, meV per atom: 17
! V, Å³ per cell: 509.7
! DOS at the Fermi energy, states/eV per cell: 21.5

=====

Entry 2:
! Pm3ErTh2Bi6, relaxed, DFT PBE; values from VASP
&SYSTEM
  ibrav = 0, nat = 12, ntyp = 4
/
ATOMIC_SPECIES
Pm 145.00 Pm.upf
Th 232.04 Th.upf
Er 167.26 Er.upf
Bi 208.98 Bi.upf
ATOMIC_POSITIONS crystal
Pm 0.832 0.166 0.665
Th 0.835 0.669 0.670
Er 0.500 0.000 0.000
Bi 0.667 0.584 0.334
Bi 0.333 0.416 0.666
Bi 0.664 0.080 0.328
Bi 0.001 0.757 0.003
Bi 0.336 0.920 0.672
Bi 0.999 0.243 0.997
Pm 0.500 0.500 0.000
Pm 0.168 0.834 0.335
Th 0.165 0.331 0.330
CELL_PARAMETERS angstrom
-2.400 -2.508 -2.975
7.526 -4.720 -2.091
-2.743 -3.915 9.025
! E_form, meV per atom: -801
! V, Å³ per cell: 404.0
! DOS at the Fermi energy, states/eV per cell: 5.1

=====

Entry 3:
! Be3Rh4, relaxed, DFT PBE; values from VASP
&SYSTEM
  ibrav = 0, nat = 7, ntyp = 2
/
ATOMIC_SPECIES
Be 9.01 Be.upf
Rh 102.91 Rh.upf
ATOMIC_POSITIONS crystal
Be 0.000 0.500 0.000
Rh 0.000 0.000 0.253
Be 0.500 0.000 0.000
Rh 0.000 0.000 0.747
Rh 0.333 0.667 0.500
Rh 0.667 0.333 0.500
Be 0.500 0.500 0.000
CELL_PARAMETERS angstrom
2.214 -3.835 0.000
2.214 3.835 0.000
0.000 0.000 4.892
! E_form, meV per atom: -103
! V, Å³ per cell: 83.1
! DOS at the Fermi energy, states/eV per cell: 9.7

=====

Entry 4:
! Ca3Mg, relaxed, DFT PBE; values from VASP
&SYSTEM
  ibrav = 0, nat = 8, ntyp = 2
/
ATOMIC_SPECIES
Ca 40.08 Ca.upf
Mg 24.30 Mg.upf
ATOMIC_POSITIONS crystal
Ca 0.500 0.000 0.000
Ca 0.000 0.500 0.000
Mg 0.372 0.372 0.255
Ca 0.750 0.250 0.500
Ca 0.250 0.750 0.500
Mg 0.628 0.628 0.745
Ca 0.877 0.877 0.247
Ca 0.123 0.123 0.753
CELL_PARAMETERS angstrom
5.292 0.000 0.000
0.000 5.292 0.000
2.646 2.646 10.365
! E_form, meV per atom: -7
! V, Å³ per cell: 290.3
! DOS at the Fermi energy, states/eV per cell: 9.9